No. 1
A plane-wave DFT calculation with PBE-GGA was carried out for AgTePbN2 after structural relaxation.

Results
Total magnetic moment in μB per formula unit: 3.07
ΔE to the lowest computed polymorph in meV per atom: 21
Total energy in eV per cell: -18.44
Symmetry: P4/mmm (123)

a b c (Å): 4.387 4.387 6.375
angles (deg): 90.00 90.00 90.00
Last column: magnetic moment on the atom in μB.
Fractional coordinates of all 5 atoms:
Te1 0.000 0.000 0.500  0.17
Pb1 0.000 0.000 0.000  -0.06
N1 0.000 0.500 0.000  0.96
Ag1 0.500 0.500 0.500  0.03
N2 0.500 0.000 0.000  0.96



No. 2
A plane-wave DFT calculation with PBE-GGA was carried out for PdRh2Pb after structural relaxation.

Results
Total magnetic moment in μB per formula unit: 0.48
Energy of formation from the pure elements in kcal/mol of atoms: 7.13
Total energy in eV per cell: -44.73
Symmetry: I-42d (122)

a b c (Å): 3.915 3.915 10.009
angles (deg): 78.72 78.72 90.00
Last column: magnetic moment on the atom in μB.
Fractional coordinates of all 8 atoms:
Rh1 0.875 0.840 0.750  0.22
Rh2 0.590 0.125 0.250  0.22
Rh3 0.375 0.410 0.750  0.22
Pb1 0.000 0.000 0.000  0.00
Rh4 0.160 0.625 0.250  0.22
Pd1 0.500 0.500 0.000  0.04
Pd2 0.250 0.750 0.500  0.03
Pb2 0.750 0.250 0.500  0.00



No. 3
A plane-wave DFT calculation with PBE-GGA was carried out for Rb4ZnHg2 after structural relaxation.

Results
Total magnetic moment in μB per formula unit: 0.00
Energy of formation from the pure elements in kcal/mol of atoms: 0.20
Total energy in eV per cell: -5.69
Symmetry: I4/mmm (139)

a b c (Å): 6.904 6.904 10.091
angles (deg): 110.00 110.00 90.00
Fractional coordinates of all 7 atoms:
Hg1 0.588 0.588 0.176
Rb1 0.000 0.500 0.000
Hg2 0.412 0.412 0.824
Zn1 0.000 0.000 0.000
Rb2 0.500 0.000 0.000
Rb3 0.794 0.794 0.588
Rb4 0.206 0.206 0.412



No. 4
A plane-wave DFT calculation with PBE-GGA was carried out for AcSiPt after structural relaxation.

Results
Total magnetic moment in μB per formula unit: 0.00
ΔE to the lowest computed polymorph in meV per atom: 0
Total energy in eV per cell: -18.79
Symmetry: P-6m2 (187)

a b c (Å): 4.566 4.275 4.275
angles (deg): 120.00 90.00 90.00
Fractional coordinates of all 3 atoms:
Ac1 0.667 0.667 0.333
Pt1 0.166 0.333 0.667
Si1 0.167 0.000 0.000